1.
A plane-wave DFT calculation with PBE was carried out for an optimized crystal structure of BaFe3Hg.

Cell: 4.9680 4.9680 4.9680 Å, 90.00 90.00 90.00°
Site moments in Bohr magnetons follow the coordinates.
Fractional coordinates of all 5 atoms:
Ba: 0.0000 0.0000 0.0000  -0.27
Fe: 0.0000 0.0000 0.5000  2.50
Fe: 0.5000 0.0000 0.0000  2.49
Fe: 0.0000 0.5000 0.0000  2.59
Hg: 0.5000 0.5000 0.5000  0.00

## Properties
Calculated volume ... 122.6 Å³ per cell
DOS(E_F) ... 7.73 states/eV/f.u.
Total magnetization ... 1.4495 μB/atom



2.
A plane-wave DFT calculation with PBE was carried out for an optimized crystal structure of BaFe3Hg.

Cell: 5.0644 5.0644 5.0644 Å, 90.00 90.00 90.00°
Site moments in Bohr magnetons follow the coordinates.
Fractional coordinates of all 5 atoms:
Ba: 0.5000 0.5000 0.5000  -0.13
Fe: 0.0000 0.5000 0.0000  3.19
Fe: 0.5000 0.0000 0.0000  2.64
Fe: 0.0000 0.0000 0.5000  3.26
Hg: 0.0000 0.0000 0.0000  -0.01

## Properties
Calculated volume ... 129.9 Å³ per cell
DOS(E_F) ... 9.17 states/eV/f.u.
Total magnetization ... 1.7851 μB/atom



Which structure is most stable? 2, by 1102 meV per atom over the runner-up.



1.
A plane-wave DFT calculation with PBE was carried out for an optimized crystal structure of Ba2FeSiHg.

Cell: 5.9552 4.4888 5.9552 Å, 90.00 90.00 90.00°
Site moments in Bohr magnetons follow the coordinates.
Fractional coordinates of all 5 atoms:
Fe: 0.0000 0.0000 0.0000  1.34
Ba: 0.5000 0.0000 0.0000  0.00
Ba: 0.0000 0.0000 0.5000  -0.04
Si: 0.0000 0.5000 0.0000  -0.04
Hg: 0.5000 0.5000 0.5000  0.01

## Properties
Calculated volume ... 159.2 Å³ per cell
DOS(E_F) ... 4.39 states/eV/f.u.
Total magnetization ... 0.2508 μB/atom



2.
A plane-wave DFT calculation with PBE was carried out for an optimized crystal structure of Ba2FeSiHg.

Cell: 6.3524 4.4328 6.3524 Å, 90.00 90.00 90.00°
Site moments in Bohr magnetons follow the coordinates.
Fractional coordinates of all 5 atoms:
Ba: 0.0000 0.0000 0.5000  -0.05
Ba: 0.5000 0.0000 0.0000  -0.06
Hg: 0.5000 0.5000 0.5000  -0.04
Si: 0.0000 0.0000 0.0000  -0.08
Fe: 0.0000 0.5000 0.0000  2.40

## Properties
Calculated volume ... 178.9 Å³ per cell
DOS(E_F) ... 4.35 states/eV/f.u.
Total magnetization ... 0.3579 μB/atom



Which structure is most stable? 1, by 75 meV per atom over the runner-up.



1.
A plane-wave DFT calculation with PBE was carried out for an optimized crystal structure of BaSrFeHg2.

Cell: 5.3513 5.0966 5.3513 Å, 90.00 90.00 90.00°
Fractional coordinates of all 5 atoms:
Hg: 0.5000 0.0000 0.0000
Hg: 0.0000 0.0000 0.5000
Ba: 0.5000 0.5000 0.5000
Fe: 0.0000 0.0000 0.0000
Sr: 0.0000 0.5000 0.0000

## Properties
Calculated volume ... 145.9 Å³ per cell
DOS(E_F) ... 4.76 states/eV/f.u.
Total magnetization ... 0.0000 μB/atom



2.
A plane-wave DFT calculation with PBE was carried out for an optimized crystal structure of BaSrFeHg2.

Cell: 6.2136 7.3497 6.2136 Å, 90.00 90.00 90.00°
Site moments in Bohr magnetons follow the coordinates.
Fractional coordinates of all 5 atoms:
Fe: 0.5000 0.5000 0.5000  3.32
Hg: 0.5000 0.0000 0.0000  -0.03
Hg: 0.0000 0.0000 0.5000  -0.01
Sr: 0.0000 0.5000 0.0000  -0.02
Ba: 0.0000 0.0000 0.0000  -0.05

## Properties
Calculated volume ... 283.8 Å³ per cell
DOS(E_F) ... 13.83 states/eV/f.u.
Total magnetization ... 0.6141 μB/atom



Which structure is most stable? 1, by 989 meV per atom over the runner-up.



1.
A plane-wave DFT calculation with PBE was carried out for an optimized crystal structure of Ba2FeI.

Cell: 5.9372 5.9372 5.9372 Å, 60.00 60.00 60.00°
Site moments in Bohr magnetons follow the coordinates.
Fractional coordinates of all 4 atoms:
Ba: 0.2500 0.2500 0.2500  -0.20
Ba: 0.7500 0.7500 0.7500  -0.20
Fe: 0.0000 0.0000 0.0000  2.68
I: 0.5000 0.5000 0.5000  0.00

## Properties
Calculated volume ... 148.0 Å³ per cell
DOS(E_F) ... 9.04 states/eV/f.u.
Total magnetization ... 0.3626 μB/atom



2.
A plane-wave DFT calculation with PBE was carried out for an optimized crystal structure of Ba2FeI.

Cell: 8.7797 8.7797 7.6392 Å, 54.93 54.93 90.00°
Site moments in Bohr magnetons follow the coordinates.
Fractional coordinates of all 8 atoms:
I: 0.0000 0.0000 0.0000  0.00
I: 0.7500 0.2500 0.5000  0.00
Ba: 0.8750 0.8362 0.7500  -0.07
Ba: 0.3750 0.4138 0.7500  -0.07
Ba: 0.5862 0.1250 0.2500  -0.07
Ba: 0.1638 0.6250 0.2500  -0.07
Fe: 0.2500 0.7500 0.5000  2.60
Fe: 0.5000 0.5000 0.0000  2.62

## Properties
Calculated volume ... 343.1 Å³ per cell
DOS(E_F) ... 4.76 states/eV/f.u.
Total magnetization ... 0.5430 μB/atom



Which structure is most stable? 1, by 26 meV per atom over the runner-up.



1.
A plane-wave DFT calculation with PBE was carried out for an optimized crystal structure of BaFe3I.

Cell: 4.8700 4.8700 4.8700 Å, 90.00 90.00 90.00°
Site moments in Bohr magnetons follow the coordinates.
Fractional coordinates of all 5 atoms:
I: 0.0000 0.0000 0.0000  -0.09
Fe: 0.0000 0.5000 0.0000  2.17
Fe: 0.0000 0.0000 0.5000  2.06
Fe: 0.5000 0.0000 0.0000  2.17
Ba: 0.5000 0.5000 0.5000  -0.17

## Properties
Calculated volume ... 115.5 Å³ per cell
DOS(E_F) ... 6.97 states/eV/f.u.
Total magnetization ... 1.0923 μB/atom



2.
A plane-wave DFT calculation with PBE was carried out for an optimized crystal structure of BaFe3I.

Cell: 5.4889 5.4889 5.4889 Å, 90.00 90.00 90.00°
Site moments in Bohr magnetons follow the coordinates.
Fractional coordinates of all 5 atoms:
I: 0.5000 0.5000 0.5000  0.10
Fe: 0.5000 0.0000 0.0000  3.08
Fe: 0.0000 0.0000 0.5000  3.01
Fe: 0.0000 0.5000 0.0000  3.13
Ba: 0.0000 0.0000 0.0000  -0.19

## Properties
Calculated volume ... 165.4 Å³ per cell
DOS(E_F) ... 18.17 states/eV/f.u.
Total magnetization ... 1.9327 μB/atom



Which structure is most stable? 1, by 1013 meV per atom over the runner-up.



1.
A plane-wave DFT calculation with PBE was carried out for an optimized crystal structure of BaFe2I.

Cell: 4.8890 4.8890 10.2271 Å, 76.17 76.17 90.00°
Site moments in Bohr magnetons follow the coordinates.
Fractional coordinates of all 8 atoms:
Fe: 0.3749 0.6250 0.2500  2.73
Fe: 0.8750 0.6251 0.7500  2.54
Fe: 0.3751 0.1250 0.2500  2.72
Fe: 0.3750 0.6249 0.7500  2.55
Ba: 0.0000 0.0000 0.0000  -0.10
Ba: 0.7500 0.2500 0.5000  -0.10
I: 0.5000 0.5000 0.0000  0.02
I: 0.2500 0.7500 0.5000  0.02

## Properties
Calculated volume ... 230.1 Å³ per cell
DOS(E_F) ... 6.47 states/eV/f.u.
Total magnetization ... 1.2472 μB/atom



2.
A plane-wave DFT calculation with PBE was carried out for an optimized crystal structure of BaFe2I.

Cell: 5.1066 5.1066 5.1066 Å, 60.00 60.00 60.00°
Site moments in Bohr magnetons follow the coordinates.
Fractional coordinates of all 4 atoms:
Ba: 0.5000 0.5000 0.5000  -0.15
Fe: 0.2500 0.2500 0.2500  2.84
Fe: 0.7500 0.7500 0.7500  2.84
I: 0.0000 0.0000 0.0000  0.04

## Properties
Calculated volume ... 94.2 Å³ per cell
DOS(E_F) ... 3.14 states/eV/f.u.
Total magnetization ... 1.3563 μB/atom



Which structure is most stable? 1, by 440 meV per atom over the runner-up.



1.
A plane-wave DFT calculation with PBE was carried out for an optimized crystal structure of BaFeSb2I.

Cell: 6.5325 6.5325 6.5194 Å, 90.00 90.00 90.00°
Site moments in Bohr magnetons follow the coordinates.
Fractional coordinates of all 5 atoms:
I: 0.0000 0.0000 0.5000  0.11
Sb: 0.0000 0.5000 0.0000  0.31
Sb: 0.5000 0.0000 0.0000  0.31
Fe: 0.5000 0.5000 0.5000  3.56
Ba: 0.0000 0.0000 0.0000  0.04

## Properties
Calculated volume ... 278.2 Å³ per cell
DOS(E_F) ... 13.18 states/eV/f.u.
Total magnetization ... 1.1994 μB/atom



2.
A plane-wave DFT calculation with PBE was carried out for an optimized crystal structure of BaFeSb2I.

Cell: 4.9793 4.9793 6.0801 Å, 90.00 90.00 90.00°
Fractional coordinates of all 5 atoms:
Ba: 0.5000 0.5000 0.5000
Sb: 0.0000 0.5000 0.0000
Sb: 0.5000 0.0000 0.0000
Fe: 0.0000 0.0000 0.0000
I: 0.0000 0.0000 0.5000

## Properties
Calculated volume ... 150.7 Å³ per cell
DOS(E_F) ... 5.53 states/eV/f.u.
Total magnetization ... 0.0000 μB/atom



Which structure is most stable? 2, by 1388 meV per atom over the runner-up.